Material: RbCr
Method: DFT, GGA-PBE
State: optimized geometry

abc: 3.308 3.308 11.089
angles: 90.00 90.00 90.00
Fractional positions:
Rb 0.250 0.250 0.207
Rb 0.750 0.750 0.793
Cr 0.250 0.750 0.500
Cr 0.750 0.250 0.500

Values from the calculation:
As for the energy above the most stable polymorph in this dataset: 329 meV per atom. Its formation energy is 1.1547 eV/atom.


Material: Np2CSe
Method: DFT, GGA-PBE
State: optimized geometry

abc: 6.831 6.831 6.831
angles: 31.88 31.88 31.88
Fractional positions:
Np 0.233 0.233 0.233
Np 0.767 0.767 0.767
C 0.500 0.500 0.500
Se 0.000 0.000 0.000

Values from the calculation:
As for the total energy: -40.425 eV per cell.


Material: PuHfS4
Method: DFT, GGA-PBE
State: optimized geometry

abc: 6.491 3.817 6.627
angles: 90.00 90.89 90.00
Fractional positions:
Pu 0.000 0.000 0.000
Hf 0.000 0.500 0.500
S 0.216 0.000 0.348
S 0.217 0.500 0.821
S 0.783 0.500 0.179
S 0.784 0.000 0.652

Values from the calculation:
As for the total energy: -49.430 eV per cell.


Material: ThH2Cl2
Method: DFT, GGA-PBE
State: optimized geometry

abc: 8.232 8.232 8.232
angles: 26.82 26.82 26.82
Fractional positions:
Th 0.000 0.000 0.000
H 0.313 0.313 0.313
H 0.687 0.687 0.687
Cl 0.419 0.419 0.419
Cl 0.581 0.581 0.581

Values from the calculation:
As for the total energy: -24.370 eV per cell.


D(E_F) values (in states/eV per atom) by entry order: 1.35 3.12 1.73 0.00.